Entry from Alexandria: SrMg2Al after structural relaxation (PBE-GGA).

abc: 3.497 4.934 6.487
angles: 90.00 102.72 90.00
Space group P2/m (No. 10)
Asymmetric unit:
Sr1 0.000 0.000 0.000 (multiplicity 1)
Mg1 0.352 0.500 0.711 (multiplicity 2)
Al1 0.500 0.000 0.500 (multiplicity 1)

Properties
- Energy: -8.50 eV per formula unit
- Theoretical density: 2482 kg/m3

=====

Entry from Alexandria: Sr2MgAl after structural relaxation (PBE-GGA).

abc: 3.877 3.877 9.297
angles: 90.00 90.00 90.00
Space group P4mm (No. 99)
Asymmetric unit:
Sr1 0.000 0.000 0.000 (multiplicity 1)
Sr2 0.500 0.500 0.371 (multiplicity 1)
Mg1 0.500 0.500 0.746 (multiplicity 1)
Al1 0.000 0.000 0.609 (multiplicity 1)

Properties
- Energy: -8.68 eV per formula unit
- Theoretical density: 2692 kg/m3

=====

Entry from Alexandria: Sr3Mg7Al2 after structural relaxation (PBE-GGA).

abc: 4.964 31.698 4.514
angles: 90.00 90.00 90.00
Space group Cmmm (No. 65)
Asymmetric unit:
Sr1 0.000 0.000 0.000 (multiplicity 2)
Sr2 0.000 0.174 0.000 (multiplicity 4)
Mg1 0.000 0.085 0.500 (multiplicity 4)
Mg2 0.000 0.275 0.500 (multiplicity 4)
Mg3 0.000 0.419 0.000 (multiplicity 4)
Mg4 0.000 0.500 0.500 (multiplicity 2)
Al1 0.000 0.364 0.500 (multiplicity 4)

Properties
- Energy: -23.79 eV per formula unit
- Theoretical density: 2277 kg/m3

=====

Entry from Alexandria: Sr3Mg2Al4 after structural relaxation (PBE-GGA).

abc: 11.950 4.817 9.456
angles: 90.00 108.32 90.00
Space group C2/m (No. 12)
Asymmetric unit:
Sr1 0.000 0.000 0.000 (multiplicity 2)
Sr2 0.136 0.500 0.689 (multiplicity 4)
Mg1 0.169 0.500 0.336 (multiplicity 4)
Al1 0.079 0.000 0.422 (multiplicity 4)
Al2 0.232 0.500 0.062 (multiplicity 4)

Properties
- Energy: -24.49 eV per formula unit
- Theoretical density: 2695 kg/m3

=====

Entry from Alexandria: Sr8MgAl2 after structural relaxation (PBE-GGA).

abc: 5.673 9.694 16.348
angles: 90.00 90.00 90.00
Space group Immm (No. 71)
Asymmetric unit:
Sr1 0.000 0.000 0.140 (multiplicity 4)
Sr2 0.000 0.209 0.338 (multiplicity 8)
Sr3 0.000 0.322 0.000 (multiplicity 4)
Mg1 0.000 0.500 0.500 (multiplicity 2)
Al1 0.000 0.500 0.194 (multiplicity 4)

Properties
- Energy: -22.58 eV per formula unit
- Theoretical density: 2879 kg/m3

=====

Entry from Alexandria: SrMg2Al after structural relaxation (PBE-GGA).

abc: 8.477 4.885 6.340
angles: 90.00 116.33 90.00
Space group Cm (No. 8)
Asymmetric unit:
Sr1 0.000 0.000 0.000 (multiplicity 2)
Mg1 0.203 0.000 0.611 (multiplicity 2)
Mg2 0.467 0.000 0.403 (multiplicity 2)
Al1 0.296 0.500 0.388 (multiplicity 2)

Properties
- Energy: -8.76 eV per formula unit
- Theoretical density: 2304 kg/m3

=====

Entry from Alexandria: Sr2Mg6Al3 after structural relaxation (PBE-GGA).

abc: 8.6225 8.6225 4.6355
angles: 90.00 90.00 120.00
Space group P-62m (No. 189)
Asymmetric unit:
Sr1 0.3333 0.6667 0.0000 (multiplicity 2)
Mg1 0.0000 0.2028 0.0000 (multiplicity 3)
Mg2 0.0000 0.7177 0.5000 (multiplicity 3)
Al1 0.0000 0.3839 0.5000 (multiplicity 3)

Properties
- Energy: -24.68 eV per formula unit
- Theoretical density: 2237 kg/m3

=====

Entry from Alexandria: SrMgAl after structural relaxation (PBE-GGA).

abc: 4.0543 4.0543 6.8206
angles: 90.00 90.00 120.00
Space group P3m1 (No. 156)
Asymmetric unit:
Sr1 0.0000 0.0000 0.0000 (multiplicity 1)
Mg1 0.6667 0.3333 0.5907 (multiplicity 1)
Al1 0.3333 0.6667 0.3497 (multiplicity 1)

Properties
- Energy: -6.44 eV per formula unit
- Theoretical density: 2376 kg/m3

=====

Entry from Alexandria: SrMgAl after structural relaxation (PBE-GGA).

abc: 3.712 3.712 12.350
angles: 90.00 90.00 90.00
Space group I4mm (No. 107)
Asymmetric unit:
Sr1 0.000 0.000 0.000 (multiplicity 2)
Mg1 0.000 0.000 0.295 (multiplicity 2)
Al1 0.000 0.000 0.682 (multiplicity 2)

Properties
- Energy: -7.07 eV per formula unit
- Theoretical density: 2711 kg/m3

=====

Entry from Alexandria: SrMg2Al after structural relaxation (PBE-GGA).

abc: 3.627 3.627 8.271
angles: 90.00 90.00 90.00
Space group P4/mmm (No. 123)
Asymmetric unit:
Sr1 0.000 0.000 0.000 (multiplicity 1)
Mg1 0.500 0.500 0.306 (multiplicity 2)
Al1 0.000 0.000 0.500 (multiplicity 1)

Properties
- Energy: -8.53 eV per formula unit
- Theoretical density: 2491 kg/m3

=====

Entry from Alexandria: SrMg2Al after structural relaxation (PBE-GGA).

abc: 3.4800 3.4800 31.8627
angles: 90.00 90.00 120.00
Space group R-3m (No. 166, hexagonal axes)
Asymmetric unit:
Sr1 0.0000 0.0000 0.0000 (multiplicity 3)
Mg1 0.0000 0.0000 0.2375 (multiplicity 6)
Al1 0.0000 0.0000 0.5000 (multiplicity 3)

Properties
- Energy: -7.77 eV per formula unit
- Theoretical density: 2433 kg/m3

=====

Entry from Alexandria: Sr16Mg12Al after structural relaxation (PBE-GGA).

abc: 13.038 18.034 11.375
angles: 90.00 124.27 90.00
Space group Cm (No. 8)
Asymmetric unit:
Sr1 0.000 0.000 0.000 (multiplicity 2)
Sr2 0.017 0.000 0.343 (multiplicity 2)
Sr3 0.037 0.307 0.642 (multiplicity 4)
Sr4 0.054 0.388 0.348 (multiplicity 4)
Sr5 0.212 0.204 0.012 (multiplicity 4)
Sr6 0.293 0.000 0.010 (multiplicity 2)
Sr7 0.332 0.324 0.331 (multiplicity 4)
Sr8 0.360 0.350 0.730 (multiplicity 4)
Sr9 0.390 0.000 0.641 (multiplicity 2)
Sr10 0.449 0.151 0.923 (multiplicity 4)
Mg1 0.005 0.185 0.149 (multiplicity 4)
Mg2 0.107 0.095 0.676 (multiplicity 4)
Mg3 0.156 0.500 0.152 (multiplicity 2)
Mg4 0.191 0.188 0.496 (multiplicity 4)
Mg5 0.237 0.413 0.962 (multiplicity 4)
Mg6 0.258 0.095 0.306 (multiplicity 4)
Mg7 0.347 0.500 0.520 (multiplicity 2)
Al1 0.179 0.500 0.681 (multiplicity 2)

Properties
- Energy: -49.74 eV per formula unit
- Theoretical density: 2585 kg/m3

=====

Entry from Alexandria: SrMgAl after structural relaxation (PBE-GGA).

abc: 4.296 6.474 12.989
angles: 90.00 90.00 90.00
Space group Immm (No. 71)
Asymmetric unit:
Sr1 0.000 0.000 0.196 (multiplicity 4)
Mg1 0.000 0.243 0.500 (multiplicity 4)
Al1 0.000 0.500 0.103 (multiplicity 4)

Properties
- Energy: -7.38 eV per formula unit
- Theoretical density: 2554 kg/m3

=====

Entry from Alexandria: SrMg2Al after structural relaxation (PBE-GGA).

abc: 3.484 4.836 6.738
angles: 90.00 104.96 90.00
Space group Pm (No. 6)
Asymmetric unit:
Sr1 0.000 0.000 0.000 (multiplicity 1)
Mg1 0.317 0.500 0.636 (multiplicity 1)
Mg2 0.739 0.000 0.474 (multiplicity 1)
Al1 0.619 0.500 0.239 (multiplicity 1)

Properties
- Energy: -8.69 eV per formula unit
- Theoretical density: 2471 kg/m3

=====

Entry from Alexandria: Sr2Mg12Al7 after structural relaxation (PBE-GGA).

abc: 11.8024 11.8024 4.1746
angles: 90.00 90.00 120.00
Space group P-3 (No. 147)
Asymmetric unit:
Sr1 0.3333 0.6667 0.2459 (multiplicity 2)
Mg1 0.0538 0.6183 0.7493 (multiplicity 6)
Mg2 0.1056 0.8472 0.2538 (multiplicity 6)
Al1 0.0000 0.0000 0.0000 (multiplicity 1)
Al2 0.1283 0.4172 0.7483 (multiplicity 6)

Properties
- Energy: -49.07 eV per formula unit
- Theoretical density: 2162 kg/m3

=====

Entry from Alexandria: SrMg2Al after structural relaxation (PBE-GGA).

abc: 4.471 4.471 11.380
angles: 90.00 90.00 90.00
Space group P4/nmm (No. 129, origin choice 2)
Asymmetric unit:
Sr1 0.250 0.250 0.240 (multiplicity 2)
Mg1 0.250 0.250 0.931 (multiplicity 2)
Mg2 0.250 0.750 0.500 (multiplicity 2)
Al1 0.250 0.250 0.663 (multiplicity 2)

Properties
- Energy: -8.90 eV per formula unit
- Theoretical density: 2383 kg/m3

=====

Entry from Alexandria: Sr2MgAl after structural relaxation (PBE-GGA).

abc: 4.022 4.048 8.239
angles: 90.00 90.00 90.00
Space group Pmmm (No. 47)
Asymmetric unit:
Sr1 0.000 0.000 0.230 (multiplicity 2)
Mg1 0.500 0.500 0.500 (multiplicity 1)
Al1 0.500 0.500 0.000 (multiplicity 1)

Properties
- Energy: -9.02 eV per formula unit
- Theoretical density: 2805 kg/m3

=====

Entry from Alexandria: SrMg3Al8 after structural relaxation (PBE-GGA).

abc: 5.5676 5.5676 8.9766
angles: 90.00 90.00 120.00
Space group P3m1 (No. 156)
Asymmetric unit:
Sr1 0.0000 0.0000 0.0000 (multiplicity 1)
Mg1 0.0000 0.0000 0.3773 (multiplicity 1)
Mg2 0.6667 0.3333 0.4960 (multiplicity 1)
Mg3 0.6667 0.3333 0.8578 (multiplicity 1)
Al1 0.1629 0.3258 0.6783 (multiplicity 3)
Al2 0.3333 0.6667 0.4389 (multiplicity 1)
Al3 0.3333 0.6667 0.9359 (multiplicity 1)
Al4 0.5038 0.0076 0.1944 (multiplicity 3)

Properties
- Energy: -37.26 eV per formula unit
- Theoretical density: 2594 kg/m3

=====

Entry from Alexandria: SrMgAl after structural relaxation (PBE-GGA).

abc: 8.021 4.785 13.636
angles: 90.00 90.40 90.00
Space group P2_1/m (No. 11)
Asymmetric unit:
Sr1 0.005 0.250 0.297 (multiplicity 2)
Sr2 0.348 0.750 0.922 (multiplicity 2)
Sr3 0.494 0.750 0.625 (multiplicity 2)
Mg1 0.011 0.250 0.912 (multiplicity 2)
Mg2 0.154 0.250 0.541 (multiplicity 2)
Mg3 0.337 0.750 0.204 (multiplicity 2)
Al1 0.212 0.750 0.426 (multiplicity 2)
Al2 0.220 0.250 0.090 (multiplicity 2)
Al3 0.285 0.250 0.753 (multiplicity 2)

Properties
- Energy: -7.41 eV per formula unit
- Theoretical density: 2644 kg/m3

=====

Entry from Alexandria: SrMg5Al2 after structural relaxation (PBE-GGA).

abc: 4.516 8.389 10.709
angles: 90.00 90.00 90.00
Space group Immm (No. 71)
Asymmetric unit:
Sr1 0.000 0.000 0.000 (multiplicity 2)
Mg1 0.000 0.181 0.345 (multiplicity 8)
Mg2 0.000 0.500 0.000 (multiplicity 2)
Al1 0.000 0.500 0.260 (multiplicity 4)

Properties
- Energy: -17.71 eV per formula unit
- Theoretical density: 2154 kg/m3

=====

Entry from Alexandria: SrMgAl after structural relaxation (PBE-GGA).

abc: 4.424 6.131 7.218
angles: 100.75 107.71 90.07
Space group P-1 (No. 2)
Asymmetric unit:
Sr1 0.121 0.327 0.240 (multiplicity 2)
Mg1 0.413 0.186 0.827 (multiplicity 2)
Al1 0.227 0.871 0.455 (multiplicity 2)

Properties
- Energy: -7.33 eV per formula unit
- Theoretical density: 2523 kg/m3

=====

Entry from Alexandria: SrMg2Al after structural relaxation (PBE-GGA).

abc: 4.623 4.725 5.000
angles: 90.00 90.00 90.00
Space group Pmmm (No. 47)
Asymmetric unit:
Sr1 0.000 0.000 0.000 (multiplicity 1)
Mg1 0.000 0.500 0.500 (multiplicity 1)
Mg2 0.500 0.000 0.500 (multiplicity 1)
Al1 0.500 0.500 0.000 (multiplicity 1)

Properties
- Energy: -8.48 eV per formula unit
- Theoretical density: 2481 kg/m3

=====

Entry from Alexandria: SrMg3Al after structural relaxation (PBE-GGA).

abc: 6.300 6.300 6.300
angles: 90.00 90.00 90.00
Space group Pm-3m (No. 221)
Asymmetric unit:
Sr1 0.000 0.000 0.000 (multiplicity 1)
Mg1 0.000 0.000 0.500 (multiplicity 3)
Al1 0.500 0.500 0.500 (multiplicity 1)

Properties
- Theoretical density: 1245 kg/m3
- ΔE to the lowest computed polymorph: 1291 meV per atom

=====

Entry from Alexandria: SrMg3Al after structural relaxation (PBE-GGA).

abc: 5.336 5.336 5.336
angles: 90.00 90.00 90.00
Space group Pm-3m (No. 221)
Asymmetric unit:
Sr1 0.000 0.000 0.000 (multiplicity 1)
Mg1 0.000 0.500 0.500 (multiplicity 3)
Al1 0.500 0.500 0.500 (multiplicity 1)

Properties
- Theoretical density: 2050 kg/m3
- ΔE to the lowest computed polymorph: 263 meV per atom